## 1
HfTaTi4, relaxed, DFT GGA-PBE; SG = F-43m (216)
1.0
0.000 3.810 3.810
3.810 0.000 3.810
3.810 3.810 0.000
Hf Ta Ti
1 1 4
Direct
0.000 0.000 0.000
0.250 0.250 0.250
0.128 0.624 0.624
0.624 0.128 0.624
0.624 0.624 0.128
0.624 0.624 0.624

## 2
HfTaTi4, relaxed, DFT GGA-PBE; SG = Cmcm (63)
1.0
2.374 -8.156 0.000
2.374 8.156 0.000
0.000 0.000 5.769
Hf Ta Ti
2 2 8
Direct
0.134 0.866 0.750
0.866 0.134 0.250
0.217 0.783 0.250
0.783 0.217 0.750
0.058 0.942 0.250
0.342 0.658 0.532
0.342 0.658 0.968
0.500 0.500 0.000
0.500 0.500 0.500
0.658 0.342 0.032
0.658 0.342 0.468
0.942 0.058 0.750

## 3
HfTaTi4, relaxed, DFT GGA-PBE; SG = P-1 (2)
1.0
3.437 0.000 0.000
-1.716 5.339 0.000
-0.013 -2.085 5.975
Hf Ta Ti
1 1 4
Direct
0.000 0.000 0.000
0.000 0.000 0.500
0.323 0.646 0.184
0.337 0.673 0.633
0.663 0.327 0.367
0.677 0.354 0.816

The structure with the greatest stability is 3.

## 1
Hf2TaTi, relaxed, DFT GGA-PBE; SG = Fm-3m (225)
1.0
0.000 3.419 3.419
3.419 0.000 3.419
3.419 3.419 0.000
Hf Ta Ti
2 1 1
Direct
0.250 0.250 0.250
0.750 0.750 0.750
0.000 0.000 0.000
0.500 0.500 0.500

## 2
Hf2TaTi, relaxed, DFT GGA-PBE; SG = R-3m (166)
1.0
1.530 0.883 9.951
-1.530 0.883 9.951
0.000 -1.766 9.951
Hf Ta Ti
2 1 1
Direct
0.249 0.249 0.249
0.751 0.751 0.751
0.000 0.000 0.000
0.500 0.500 0.500

## 3
Hf2TaTi, relaxed, DFT GGA-PBE; SG = P4/mmm (123)
1.0
3.576 0.000 0.000
0.000 3.576 0.000
0.000 0.000 6.226
Hf Ta Ti
2 1 1
Direct
0.000 0.000 0.249
0.000 0.000 0.751
0.500 0.500 0.000
0.500 0.500 0.500

The structure with the greatest stability is 1.

## 1
Hf2TaTi, relaxed, DFT GGA-PBE; SG = R3m (160)
1.0
1.529 0.883 9.965
-1.529 0.883 9.965
0.000 -1.766 9.965
Hf Ta Ti
2 1 1
Direct
0.000 0.000 0.000
0.169 0.169 0.169
0.418 0.418 0.418
0.585 0.585 0.585

## 2
Hf2TaTi, relaxed, DFT GGA-PBE; SG = P4/mmm (123)
1.0
5.056 0.000 0.000
0.000 5.056 0.000
0.000 0.000 3.117
Hf Ta Ti
2 1 1
Direct
0.000 0.500 0.000
0.500 0.000 0.000
0.000 0.000 0.500
0.500 0.500 0.500

## 3
Hf2TaTi, relaxed, DFT GGA-PBE; SG = I-42d (122)
1.0
-3.772 3.772 2.888
3.772 -3.772 2.888
3.772 3.772 -2.888
Hf Ta Ti
4 2 2
Direct
0.119 0.125 0.494
0.375 0.881 0.006
0.631 0.625 0.506
0.875 0.369 0.994
0.250 0.750 0.500
0.500 0.500 0.000
0.000 0.000 0.000
0.750 0.250 0.500

The structure with the greatest stability is 2.

## 1
HfTa2Ti, relaxed, DFT GGA-PBE; SG = P4/mmm (123)
1.0
3.325 0.000 0.000
0.000 3.325 0.000
0.000 0.000 6.795
Hf Ta Ti
1 2 1
Direct
0.000 0.000 0.000
0.500 0.500 0.275
0.500 0.500 0.725
0.000 0.000 0.500

## 2
HfTa2Ti, relaxed, DFT GGA-PBE; SG = I-42d (122)
1.0
-3.752 3.752 2.797
3.752 -3.752 2.797
3.752 3.752 -2.797
Hf Ta Ti
2 4 2
Direct
0.000 0.000 0.000
0.750 0.250 0.500
0.140 0.125 0.515
0.375 0.860 0.985
0.610 0.625 0.485
0.875 0.390 0.015
0.250 0.750 0.500
0.500 0.500 0.000

## 3
HfTa2Ti, relaxed, DFT GGA-PBE; SG = Fm-3m (225)
1.0
0.000 3.346 3.346
3.346 0.000 3.346
3.346 3.346 0.000
Hf Ta Ti
1 2 1
Direct
0.000 0.000 0.000
0.250 0.250 0.250
0.750 0.750 0.750
0.500 0.500 0.500

The structure with the greatest stability is 1.